{
  "formula": "TlIn2Te",
  "functional": "PBE-GGA",
  "state": "optimized geometry",
  "lattice_angstrom": [[-6.895, 1.318, -4.738], [-4.002, -0.305, -7.458], [-6.253, -2.919, -4.909]],
  "species": ["In", "In", "Tl", "Te"],
  "fractional_positions": [[0.246, 0.246, 0.246], [0.995, 0.995, 0.995], [0.752, 0.752, 0.752], [0.507, 0.507, 0.507]],
  "crystal_system": "trigonal",
  "relative_energy_kj_per_mol_atoms": 3.59,
  "raw_formation_energy_mev_per_atom": -88
}